(1)
SrHoInPb: relaxed, PBE.

SG = F-43m, No. 216
ΔE_f = -1.503 eV/f.u.

Unit cell a=5.5687 b=5.5687 c=5.5687 alpha=60.00 beta=60.00 gamma=60.00
Closest atoms and distances in Å follow each position.
Element x y z (fractional)
Sr 0.0000 0.0000 0.0000  4 Pb 3.41, 4 In 3.41
Ho 0.5000 0.5000 0.5000  4 In 3.41, 4 Pb 3.41
In 0.2500 0.2500 0.2500  4 Ho 3.41, 4 Sr 3.41
Pb 0.7500 0.7500 0.7500  4 Ho 3.41, 4 Sr 3.41

(2)
K3Tb3GaTe8: relaxed, PBE.

E_form (uncorrected) = -1066 meV per atom
SG = C2/m, No. 12

Unit cell a=8.7372 b=8.7372 c=9.9324 alpha=116.13 beta=116.13 gamma=59.98
Closest atoms and distances in Å follow each position.
Element x y z (fractional)
K 0.0000 0.0000 0.0000  6 Te 3.53-3.56
K 0.0000 0.5000 0.0000  6 Te 3.53-3.57
K 0.5000 0.0000 0.0000  6 Te 3.53-3.57
Tb 0.0000 0.5000 0.5000  6 Te 3.09-3.10
Tb 0.5000 0.0000 0.5000  6 Te 3.09-3.10
Tb 0.5000 0.5000 0.5000  6 Te 3.09-3.10
Ga 0.0000 0.0000 0.5000  6 Te 2.93-2.96
Te 0.2238 0.2238 0.6980  1 Ga 2.93, 2 Tb 3.10
Te 0.2261 0.7475 0.6996  1 Ga 2.96, 2 Tb 3.09
Te 0.2525 0.7739 0.3004  1 Ga 2.96, 2 Tb 3.09
Te 0.2629 0.2629 0.2891  3 Tb 3.10
Te 0.7371 0.7371 0.7109  3 Tb 3.10
Te 0.7475 0.2261 0.6996  1 Ga 2.96, 2 Tb 3.09
Te 0.7739 0.2525 0.3004  1 Ga 2.96, 2 Tb 3.09
Te 0.7762 0.7762 0.3020  1 Ga 2.93, 2 Tb 3.10

(3)
InSe: relaxed, PBE.

E_form (uncorrected) = -209 meV per atom
SG = P4/mmm, No. 123

Unit cell a=4.1799 b=4.1799 c=2.9370 alpha=90.00 beta=90.00 gamma=90.00
Closest atoms and distances in Å follow each position.
Element x y z (fractional)
In 0.0000 0.0000 0.0000  2 In 2.94, 4 Se 2.96
Se 0.5000 0.5000 0.0000  2 Se 2.94, 4 In 2.96

(4)
Rb2ZnCrHg: relaxed, PBE.

SG = P4/mmm, No. 123
ΔE_f = 3.008 eV/f.u.

Unit cell a=6.8713 b=6.8713 c=5.4213 alpha=90.00 beta=90.00 gamma=90.00
Closest atoms and distances in Å follow each position.
Element x y z (fractional)
Rb 0.0000 0.5000 0.0000  2 Cr 3.44
Rb 0.5000 0.0000 0.0000  2 Cr 3.44
Zn 0.0000 0.0000 0.5000  8 Rb 4.38, 4 Hg 4.86
Cr 0.5000 0.5000 0.0000  2 Hg 2.71
Hg 0.5000 0.5000 0.5000  2 Cr 2.71

(5)
MgSi: relaxed, PBE.

E_form (uncorrected) = 27 meV per atom
SG = P1, No. 1

Unit cell a=4.4652 b=5.3929 c=10.3409 alpha=99.65 beta=94.19 gamma=109.49
Closest atoms and distances in Å follow each position.
Element x y z (fractional)
Mg 0.0000 0.0000 0.0000  6 Si 2.78-3.03, 1 Mg 3.08
Mg 0.0893 0.1100 0.3312  6 Si 2.80-3.01
Mg 0.2303 0.2517 0.6579  5 Si 2.77-3.10, 1 Mg 3.02
Mg 0.5419 0.8742 0.7409  4 Si 2.66-2.71
Mg 0.7033 0.4623 0.1831  5 Si 2.69-2.94
Mg 0.8210 0.5887 0.4977  5 Si 2.81-2.94
Si 0.2620 0.5455 0.9590  4 Si 2.42-2.52
Si 0.3055 0.6608 0.3315  2 Si 2.43-2.45
Si 0.4721 0.9030 0.1531  2 Si 2.42-2.45
Si 0.6104 0.0406 0.5078  1 Si 2.43, 1 Mg 2.71
Si 0.6592 0.3271 0.9176  3 Si 2.42-2.52, 2 Mg 2.66-2.69
Si 0.9342 0.6032 0.7710  2 Si 2.42-2.47, 2 Mg 2.66-2.69

(6)
FeCu2As: relaxed, PBE.

SG = I-4m2, No. 119
ΔE_f = 0.571 eV/f.u.

Unit cell a=4.5443 b=4.5443 c=4.5443 alpha=131.78 beta=131.78 gamma=70.58
Closest atoms and distances in Å follow each position.
Element x y z (fractional)
Fe 0.0000 0.0000 0.0000  4 As 2.62, 8 Cu 2.62-2.63
Cu 0.2500 0.7500 0.5000  4 Fe 2.62, 4 Cu 2.62, 4 As 2.63
Cu 0.5000 0.5000 0.0000  4 As 2.62, 4 Cu 2.62, 4 Fe 2.63
As 0.7500 0.2500 0.5000  4 Fe 2.62, 8 Cu 2.62-2.63

(7)
TeWSe: relaxed, PBE.

E_form (uncorrected) = 32 meV per atom
SG = P-1, No. 2
Distance to the lowest polymorph of the same formula = 0.355 eV/atom

Unit cell a=5.9018 b=7.4705 c=9.5634 alpha=74.31 beta=88.86 gamma=88.78
Closest atoms and distances in Å follow each position.
Element x y z (fractional)
Te 0.1762 0.2449 0.3798  3 W 2.61-2.67
Te 0.2593 0.0862 0.0457  3 W 2.73-2.81
Te 0.3133 0.4483 0.7084  3 W 2.63-2.69
Te 0.6867 0.5517 0.2916  3 W 2.63-2.69
Te 0.7407 0.9138 0.9543  3 W 2.73-2.81
Te 0.8238 0.7551 0.6202  3 W 2.61-2.67
W 0.0000 0.5000 0.5000  2 Se 2.64, 4 Te 2.66-2.69
W 0.0149 0.7889 0.1990  3 Se 2.48-2.65, 2 Te 2.63-2.73
W 0.4975 0.7073 0.8151  3 Se 2.49-2.66, 3 Te 2.61-2.74
W 0.5000 0.0000 0.5000  4 Se 2.59-2.64, 2 Te 2.67
W 0.5025 0.2927 0.1849  3 Se 2.49-2.66, 3 Te 2.61-2.74
W 0.9851 0.2111 0.8010  3 Se 2.48-2.65, 2 Te 2.63-2.73
Se 0.2096 0.9552 0.7131  3 W 2.49-2.61
Se 0.2564 0.5918 0.0544  3 W 2.62-2.66
Se 0.3028 0.7562 0.3900  3 W 2.48-2.64
Se 0.6972 0.2438 0.6100  3 W 2.48-2.64
Se 0.7436 0.4082 0.9456  3 W 2.62-2.66
Se 0.7904 0.0448 0.2869  3 W 2.49-2.61

(8)
MnCr3Cl: relaxed, PBE.

E_form (uncorrected) = 1163 meV per atom
SG = Pm-3m, No. 221
Distance to the lowest polymorph of the same formula = 0.000 eV/atom

Unit cell a=4.0637 b=4.0637 c=4.0637 alpha=90.00 beta=90.00 gamma=90.00
Closest atoms and distances in Å follow each position.
Element x y z (fractional)
Mn 0.0000 0.0000 0.0000  12 Cr 2.87
Cr 0.0000 0.5000 0.5000  2 Cl 2.03
Cr 0.5000 0.0000 0.5000  2 Cl 2.03
Cr 0.5000 0.5000 0.0000  2 Cl 2.03
Cl 0.5000 0.5000 0.5000  6 Cr 2.03

(9)
Nb12Mo6Os: relaxed, PBE.

SG = R-3, No. 148
ΔE_f = 4.392 eV/f.u.

Unit cell a=7.7427 b=7.7427 c=7.7427 alpha=110.92 beta=110.92 gamma=110.92
Closest atoms and distances in Å follow each position.
Element x y z (fractional)
Nb 0.0512 0.7084 0.1544  3 Mo 2.72-2.82, 5 Nb 2.84-3.01, 1 Os 2.99
Nb 0.1544 0.0512 0.7084  3 Mo 2.72-2.82, 5 Nb 2.84-3.01, 1 Os 2.99
Nb 0.1795 0.4393 0.3208  2 Mo 2.61-2.76, 1 Os 2.79, 3 Nb 2.84-2.87
Nb 0.2916 0.8456 0.9488  3 Mo 2.72-2.82, 5 Nb 2.84-3.01, 1 Os 2.99
Nb 0.3208 0.1795 0.4393  2 Mo 2.61-2.76, 1 Os 2.79, 3 Nb 2.84-2.87
Nb 0.4393 0.3208 0.1795  2 Mo 2.61-2.76, 1 Os 2.79, 3 Nb 2.84-2.87
Nb 0.5607 0.6792 0.8205  2 Mo 2.61-2.76, 1 Os 2.79, 3 Nb 2.84-2.87
Nb 0.6792 0.8205 0.5607  2 Mo 2.61-2.76, 1 Os 2.79, 3 Nb 2.84-2.87
Nb 0.7084 0.1544 0.0512  3 Mo 2.72-2.82, 5 Nb 2.84-3.01, 1 Os 2.99
Nb 0.8205 0.5607 0.6792  2 Mo 2.61-2.76, 1 Os 2.79, 3 Nb 2.84-2.87
Nb 0.8456 0.9488 0.2916  3 Mo 2.72-2.82, 5 Nb 2.84-3.01, 1 Os 2.99
Nb 0.9488 0.2916 0.8456  3 Mo 2.72-2.82, 5 Nb 2.84-3.01, 1 Os 2.99
Mo 0.1076 0.4057 0.6151  5 Nb 2.61-2.82
Mo 0.3849 0.8924 0.5943  5 Nb 2.61-2.82
Mo 0.4057 0.6151 0.1076  5 Nb 2.61-2.82
Mo 0.5943 0.3849 0.8924  5 Nb 2.61-2.82
Mo 0.6151 0.1076 0.4057  5 Nb 2.61-2.82
Mo 0.8924 0.5943 0.3849  5 Nb 2.61-2.82
Os 0.0000 0.0000 0.0000  12 Nb 2.79-2.99

(10)
YHfBe3: relaxed, PBE.

SG = Pm-3m, No. 221
Distance to the lowest polymorph of the same formula = 0.619 eV/atom
ΔE_f = 8.096 eV/f.u.

Unit cell a=4.5158 b=4.5158 c=4.5158 alpha=90.00 beta=90.00 gamma=90.00
Closest atoms and distances in Å follow each position.
Element x y z (fractional)
Y 0.0000 0.0000 0.0000  6 Be 2.26
Hf 0.5000 0.5000 0.5000  12 Be 3.19
Be 0.0000 0.0000 0.5000  2 Y 2.26
Be 0.0000 0.5000 0.0000  2 Y 2.26
Be 0.5000 0.0000 0.0000  2 Y 2.26

(11)
NaMn2CuSe4: relaxed, PBE.

E_form (uncorrected) = -451 meV per atom
SG = Pmn2_1, No. 31

Unit cell a=8.3247 b=7.0606 c=6.8288 alpha=90.00 beta=90.00 gamma=90.00
Closest atoms and distances in Å follow each position.
Element x y z (fractional)
Na 0.0000 0.1724 0.0000  4 Se 2.88-2.91
Na 0.5000 0.8276 0.5000  4 Se 2.88-2.91
Mn 0.2481 0.3344 0.4878  4 Se 2.44-2.47
Mn 0.2519 0.6656 0.9878  4 Se 2.44-2.47
Mn 0.7481 0.6656 0.9878  4 Se 2.44-2.47
Mn 0.7519 0.3344 0.4878  4 Se 2.44-2.47
Cu 0.0000 0.8169 0.4992  4 Se 2.41-2.42
Cu 0.5000 0.1831 0.9992  4 Se 2.41-2.42
Se 0.0000 0.1519 0.4263  1 Cu 2.42, 2 Mn 2.47
Se 0.0000 0.7881 0.8508  1 Cu 2.41, 2 Mn 2.45
Se 0.2169 0.6482 0.3424  1 Cu 2.41, 2 Mn 2.44
Se 0.2831 0.3518 0.8424  1 Cu 2.41, 2 Mn 2.44
Se 0.5000 0.2119 0.3508  1 Cu 2.41, 2 Mn 2.45
Se 0.5000 0.8481 0.9263  1 Cu 2.42, 2 Mn 2.47
Se 0.7169 0.3518 0.8424  1 Cu 2.41, 2 Mn 2.44
Se 0.7831 0.6482 0.3424  1 Cu 2.41, 2 Mn 2.44

(12)
Ag2S7Cl2: relaxed, PBE.

E_form (uncorrected) = 161 meV per atom
SG = P-1, No. 2

Unit cell a=3.9411 b=8.3276 c=8.7471 alpha=102.21 beta=102.54 gamma=102.78
Closest atoms and distances in Å follow each position.
Element x y z (fractional)
Ag 0.0073 0.3687 0.1458  4 S 2.58-2.71
Ag 0.9927 0.6313 0.8542  4 S 2.58-2.71
S 0.1826 0.9421 0.0352  1 S 1.97
S 0.1859 0.5408 0.4467  1 S 1.97
S 0.3284 0.9628 0.5542  1 S 1.88
S 0.5000 0.5000 0.0000  2 Cl 2.34
S 0.6716 0.0372 0.4458  1 S 1.88
S 0.8141 0.4592 0.5533  1 S 1.97
S 0.8174 0.0579 0.9648  1 S 1.97
Cl 0.3388 0.2638 0.7718  1 S 2.34
Cl 0.6612 0.7362 0.2282  1 S 2.34

Total energy? In order: -3.5523 -4.0886 -3.3209 -2.0253 -3.4813 -5.1833 -6.4945 -6.8145 -10.1401 -3.9001 -5.1624 -3.3202 eV per atom.